1.
VASP calculation (PBE) on La3AlSn2Pd9 after structural relaxation.

Values from the calculation:
- space group = P-3m1, No. 164
- E_form (eV/f.u.) = -8.16
- magnetic moment (μB/f.u.) = 0.000
- electronic total energy (Ry/atom) = -0.39898
- DOS at the Fermi energy (states/eV/f.u.) = 4.5

Geometry as POSCAR:
```
La3AlSn2Pd9
1.0
-6.332 -0.615 2.617
4.817 -4.670 1.518
2.425 4.774 6.990
Pd Al La Sn
9 1 3 2
Cartesian
4.045 -2.787 3.642
-3.135 2.276 7.483
-0.757 -2.642 2.067
-3.166 -0.307 1.308
0.711 2.650 5.893
1.119 0.050 2.719
0.199 -3.161 5.231
2.409 -2.335 0.759
-0.209 -0.560 8.405
1.212 2.387 3.495
-1.951 -0.658 4.166
2.861 0.148 6.959
0.000 0.000 0.000
-0.689 1.828 7.806
1.599 -2.338 3.319
```

---

2.
VASP calculation (PBE) on Ho2MgHg3 after structural relaxation.

Values from the calculation:
- space group = P4/mmm, No. 123
- E_form (eV/f.u.) = -2.49
- magnetic moment (μB/f.u.) = 0.000
- electronic total energy (Ry/atom) = -0.17327
- polymorph energy (0 for the lowest one) (eV/f.u.) = 0.27
- DOS at the Fermi energy (states/eV/f.u.) = 2.8

Geometry as POSCAR:
```
Ho2MgHg3
1.0
-1.116 -3.411 -0.650
3.111 -0.679 -1.778
4.577 -3.262 9.257
Hg Ho Mg
3 2 1
Cartesian
3.000 -2.138 6.068
0.000 0.000 0.000
1.577 -1.124 3.189
4.779 -4.740 6.434
1.793 -2.612 0.395
3.286 -3.676 3.415
```

---

3.
VASP calculation (PBE) on BeAs4Os after structural relaxation.

Values from the calculation:
- space group = F-43m, No. 216
- E_form (eV/f.u.) = 7.33
- magnetic moment (μB/f.u.) = 0.512
- electronic total energy (Ry/atom) = -0.32121
- DOS at the Fermi energy (states/eV/f.u.) = 6.3

Geometry as POSCAR:
```
BeAs4Os
1.0
0.000 3.766 3.766
3.766 0.000 3.766
3.766 3.766 0.000
As Os Be
4 1 1
Cartesian
4.705 2.828 4.705
2.828 4.705 4.705
2.828 2.828 2.828
4.705 4.705 2.828
0.000 0.000 0.000
5.650 5.650 5.650
```

---

4.
VASP calculation (PBE) on Cs2RbHgSb after structural relaxation.

Values from the calculation:
- space group = P4/mmm, No. 123
- magnetic moment (μB/f.u.) = 0.000
- electronic total energy (Ry/atom) = -0.11764
- polymorph energy (0 for the lowest one) (eV/f.u.) = 0.00
- DOS at the Fermi energy (states/eV/f.u.) = 3.0

Geometry as POSCAR:
```
Cs2RbHgSb
1.0
-2.997 4.252 5.447
1.016 -5.601 4.932
6.487 2.559 1.571
Rb Cs Hg Sb
1 2 1 1
Cartesian
3.243 1.280 0.785
-1.498 2.126 2.723
0.508 -2.801 2.466
2.253 0.605 5.975
0.000 0.000 0.000
```

---

5.
VASP calculation (PBE) on PAu4 after structural relaxation.

Values from the calculation:
- space group = I4/mmm, No. 139
- E_form (eV/f.u.) = 0.84
- magnetic moment (μB/f.u.) = 0.000
- electronic total energy (Ry/atom) = -0.25993
- polymorph energy (0 for the lowest one) (eV/f.u.) = 0.00
- DOS at the Fermi energy (states/eV/f.u.) = 1.4

Geometry as POSCAR:
```
PAu4
1.0
-2.173 0.392 5.012
-1.197 0.022 -5.345
1.039 -5.370 0.290
Au P
4 1
Cartesian
-2.004 -1.191 1.322
-0.328 -3.764 -1.364
-0.602 -3.662 1.544
-1.730 -1.294 -1.586
0.000 0.000 0.000
```

---

Q: Look up the electronic total energy of the second one.
A: -0.17327 Ry/atom

---

Q: Look up the electronic total energy of the first one.
A: -0.39898 Ry/atom

---

Q: Look up the DOS at the Fermi energy of the third one.
A: 6.3 states/eV/f.u.

---

Q: Which value of magnetic moment does entry 1 give?
A: 0.000 μB/f.u.